[1]
The following is a PBE-GGA calculation of crystalline CrFe2Pt at its relaxed geometry, from Alexandria.

Cell: 5.802 5.802 5.802 Å, 90.00 90.00 90.00°
Space group Fm-3m (No. 225)
One atom of each set of equivalent atoms:
Cr 0.000 0.000 0.000 [4 per cell]
Fe 0.250 0.250 0.250 [8 per cell]
Pt 0.000 0.000 0.500 [4 per cell]

Properties
**Theoretical density**: 12.2 g/cm³

[2]
The following is a PBE-GGA calculation of crystalline CrFe2Pt at its relaxed geometry, from Alexandria.

Cell: 2.705 3.533 5.372 Å, 90.00 90.00 90.00°
Space group Pmm2 (No. 25)
One atom of each set of equivalent atoms:
Cr 0.000 0.000 0.000 [1 per cell]
Fe 0.000 0.000 0.448 [1 per cell]
Fe 0.500 0.500 0.215 [1 per cell]
Pt 0.500 0.500 0.720 [1 per cell]

Properties
**Theoretical density**: 11.6 g/cm³

[3]
The following is a PBE-GGA calculation of crystalline Cr2Fe2Pt at its relaxed geometry, from Alexandria.

Cell: 6.800 6.800 2.611 Å, 90.00 90.00 90.00°
Space group P4/mbm (No. 127)
One atom of each set of equivalent atoms:
Cr 0.119 0.381 0.000 [4 per cell]
Fe 0.174 0.674 0.500 [4 per cell]
Pt 0.000 0.000 0.000 [2 per cell]

Properties
**Energy above the most stable polymorph in this dataset**: 130 meV per atom
**Theoretical density**: 11.3 g/cm³

[4]
The following is a PBE-GGA calculation of crystalline Cr2FePt9 at its relaxed geometry, from Alexandria.

Cell: 3.916 3.916 11.773 Å, 90.00 90.00 90.00°
Space group P4/mmm (No. 123)
One atom of each set of equivalent atoms:
Cr 0.000 0.000 0.164 [2 per cell]
Fe 0.000 0.000 0.500 [1 per cell]
Pt 0.000 0.500 0.000 [2 per cell]
Pt 0.000 0.500 0.334 [4 per cell]
Pt 0.500 0.500 0.168 [2 per cell]
Pt 0.500 0.500 0.500 [1 per cell]

Properties
**Theoretical density**: 17.6 g/cm³

[5]
The following is a PBE-GGA calculation of crystalline CrFe2Pt9 at its relaxed geometry, from Alexandria.

Cell: 3.916 3.916 11.768 Å, 90.00 90.00 90.00°
Space group P4/mmm (No. 123)
One atom of each set of equivalent atoms:
Cr 0.000 0.000 0.000 [1 per cell]
Fe 0.000 0.000 0.333 [2 per cell]
Pt 0.000 0.500 0.168 [4 per cell]
Pt 0.000 0.500 0.500 [2 per cell]
Pt 0.500 0.500 0.000 [1 per cell]
Pt 0.500 0.500 0.334 [2 per cell]

Properties
**Theoretical density**: 17.7 g/cm³

[6]
The following is a PBE-GGA calculation of crystalline Cr3FePt at its relaxed geometry, from Alexandria.

Cell: 4.150 4.150 4.150 Å, 90.00 90.00 90.00°
Space group Pm-3m (No. 221)
One atom of each set of equivalent atoms:
Cr 0.000 0.000 0.500 [3 per cell]
Fe 0.000 0.000 0.000 [1 per cell]
Pt 0.500 0.500 0.500 [1 per cell]

Properties
**Energy above the most stable polymorph in this dataset**: 0 meV per atom
**Theoretical density**: 9.5 g/cm³

Short version: E_form = 26.9 -8.2 14.5 -24.2 -22.0 92.2 kJ/mol of atoms, in the order given.
Short version: DFT total energy = -0.289 -0.303 -0.305 -0.261 -0.256 -0.284 hartree per atom, in the order given.